[1]
Entry from Alexandria: BaCaSn2 after structural relaxation (PBE-GGA).

Unit cell a=10.6736 b=10.6736 c=10.6736 alpha=21.39 beta=21.39 gamma=21.39
Sites, in units of the cell vectors:
Ba  0.0000  0.0000  0.0000
Ca  0.5000  0.5000  0.5000
Sn  0.2443  0.2443  0.2443
Sn  0.7557  0.7557  0.7557

Properties
energy of formation = -366 meV per atom
uncorrected energy = -3.35 eV per atom
space group = R-3m, No. 166


[2]
Entry from Alexandria: BaCa2Sn after structural relaxation (PBE-GGA).

Unit cell a=7.2208 b=7.2208 c=9.1916 alpha=90.00 beta=90.00 gamma=138.04
Sites, in units of the cell vectors:
Ba  0.0573  0.9427  0.7500
Ba  0.9427  0.0573  0.2500
Ca  0.3474  0.6526  0.5542
Ca  0.3474  0.6526  0.9458
Ca  0.6526  0.3474  0.0542
Ca  0.6526  0.3474  0.4458
Sn  0.2221  0.7779  0.2500
Sn  0.7779  0.2221  0.7500

Properties
energy of formation = -460 meV per atom
uncorrected energy = -2.94 eV per atom
space group = Cmcm, No. 63


[3]
Entry from Alexandria: Ba2CaSn6 after structural relaxation (PBE-GGA).

Unit cell a=7.2297 b=7.2297 c=6.5233 alpha=90.03 beta=90.03 gamma=60.12
Sites, in units of the cell vectors:
Ba  0.1667  0.1667  0.3391
Ba  0.8333  0.8333  0.6609
Ca  0.5000  0.5000  0.5000
Sn  0.1298  0.6853  0.1502
Sn  0.3150  0.3150  0.8504
Sn  0.3147  0.8702  0.8498
Sn  0.6853  0.1298  0.1502
Sn  0.6850  0.6850  0.1496
Sn  0.8702  0.3147  0.8498

Properties
energy of formation = -484 meV per atom
uncorrected energy = -3.80 eV per atom
space group = C2/m, No. 12


[4]
Entry from Alexandria: BaCa2Sn after structural relaxation (PBE-GGA).

Unit cell a=12.5980 b=12.5980 c=12.5980 alpha=156.41 beta=156.41 gamma=33.61
Sites, in units of the cell vectors:
Ba  0.0000  0.0000  0.0000
Ba  0.7500  0.2500  0.5000
Ca  0.1576  0.6250  0.0326
Ca  0.3750  0.4076  0.5326
Ca  0.5924  0.1250  0.9674
Ca  0.8750  0.8424  0.4674
Sn  0.2500  0.7500  0.5000
Sn  0.5000  0.5000  0.0000

Properties
energy of formation = -96 meV per atom
uncorrected energy = -2.58 eV per atom
space group = I-42d, No. 122


[5]
Entry from Alexandria: BaCa2Sn4 after structural relaxation (PBE-GGA).

Unit cell a=10.8358 b=10.8358 c=10.8358 alpha=155.65 beta=153.68 gamma=36.16
Sites, in units of the cell vectors:
Ba  0.0000  0.0000  0.0000
Ca  0.1818  0.6818  0.5000
Ca  0.8182  0.3182  0.5000
Sn  0.3379  0.8379  0.5000
Sn  0.4262  0.4262  0.0000
Sn  0.5738  0.5738  0.0000
Sn  0.6621  0.1621  0.5000

Properties
energy of formation = -586 meV per atom
uncorrected energy = -3.72 eV per atom
space group = Immm, No. 71


[6]
Entry from Alexandria: BaCaSn4 after structural relaxation (PBE-GGA).

Unit cell a=6.4119 b=6.4119 c=6.4119 alpha=60.00 beta=60.00 gamma=60.00
Sites, in units of the cell vectors:
Ba  0.0000  0.0000  0.0000
Ca  0.2500  0.2500  0.2500
Sn  0.1270  0.6243  0.6243
Sn  0.6243  0.1270  0.6243
Sn  0.6243  0.6243  0.1270
Sn  0.6243  0.6243  0.6243

Properties
relative energy among the computed polymorphs = 0.000 eV per atom
energy of formation = -485 meV per atom
uncorrected energy = -3.81 eV per atom
space group = F-43m, No. 216


[7]
Entry from Alexandria: Ba2Ca2Sn15 after structural relaxation (PBE-GGA).

Unit cell a=8.4906 b=8.4906 c=8.4906 alpha=78.98 beta=78.98 gamma=78.98
Sites, in units of the cell vectors:
Ba  0.1478  0.1478  0.1478
Ba  0.8522  0.8522  0.8522
Ca  0.3939  0.3939  0.3939
Ca  0.6061  0.6061  0.6061
Sn  0.0000  0.5000  0.5000
Sn  0.1388  0.1388  0.6409
Sn  0.1388  0.6409  0.1388
Sn  0.2111  0.5000  0.7889
Sn  0.2111  0.7889  0.5000
Sn  0.3591  0.8612  0.8612
Sn  0.5000  0.0000  0.5000
Sn  0.5000  0.2111  0.7889
Sn  0.5000  0.5000  0.0000
Sn  0.5000  0.7889  0.2111
Sn  0.6409  0.1388  0.1388
Sn  0.7889  0.2111  0.5000
Sn  0.7889  0.5000  0.2111
Sn  0.8612  0.3591  0.8612
Sn  0.8612  0.8612  0.3591

Properties
energy of formation = -283 meV per atom
uncorrected energy = -3.86 eV per atom
space group = R-3m, No. 166


[8]
Entry from Alexandria: Ba2CaSn2 after structural relaxation (PBE-GGA).

Unit cell a=8.6696 b=8.6696 c=5.2830 alpha=90.00 beta=90.00 gamma=90.00
Sites, in units of the cell vectors:
Ba  0.1702  0.3298  0.0000
Ba  0.3298  0.8298  0.0000
Ba  0.6702  0.1702  0.0000
Ba  0.8298  0.6702  0.0000
Ca  0.0000  0.0000  0.5000
Ca  0.5000  0.5000  0.5000
Sn  0.1222  0.6222  0.5000
Sn  0.3778  0.1222  0.5000
Sn  0.6222  0.8778  0.5000
Sn  0.8778  0.3778  0.5000

Properties
relative energy among the computed polymorphs = 0.036 eV per atom
energy of formation = -589 meV per atom
uncorrected energy = -3.36 eV per atom
space group = P4/mbm, No. 127


[9]
Entry from Alexandria: BaCa2Sn after structural relaxation (PBE-GGA).

Unit cell a=7.3673 b=7.3673 c=7.3673 alpha=42.67 beta=42.67 gamma=42.67
Sites, in units of the cell vectors:
Ba  0.0000  0.0000  0.0000
Ca  0.5549  0.5549  0.5549
Ca  0.7886  0.7886  0.7886
Sn  0.1849  0.1849  0.1849

Properties
energy of formation = -351 meV per atom
uncorrected energy = -2.83 eV per atom
space group = R3m, No. 160


[10]
Entry from Alexandria: BaCa4Sn4 after structural relaxation (PBE-GGA).

Unit cell a=10.4579 b=10.4579 c=6.3229 alpha=90.00 beta=90.00 gamma=90.00
Sites, in units of the cell vectors:
Ba  0.2500  0.2500  0.2500
Ba  0.7500  0.7500  0.7500
Ca  0.1057  0.6337  0.1350
Ca  0.1337  0.8943  0.6350
Ca  0.3663  0.6057  0.6350
Ca  0.3943  0.8663  0.1350
Ca  0.6057  0.1337  0.8650
Ca  0.6337  0.3943  0.3650
Ca  0.8663  0.1057  0.3650
Ca  0.8943  0.3663  0.8650
Sn  0.0565  0.5923  0.6403
Sn  0.0923  0.9435  0.1403
Sn  0.4077  0.5565  0.1403
Sn  0.4435  0.9077  0.6403
Sn  0.5565  0.0923  0.3597
Sn  0.5923  0.4435  0.8597
Sn  0.9077  0.0565  0.8597
Sn  0.9435  0.4077  0.3597

Properties
energy of formation = -506 meV per atom
uncorrected energy = -3.39 eV per atom
space group = P4_2/n, No. 86


[11]
Entry from Alexandria: Ba2CaSn after structural relaxation (PBE-GGA).

Unit cell a=14.0046 b=14.0046 c=14.0046 alpha=16.65 beta=16.65 gamma=16.65
Sites, in units of the cell vectors:
Ba  0.0839  0.0839  0.0839
Ba  0.9161  0.9161  0.9161
Ca  0.5000  0.5000  0.5000
Sn  0.0000  0.0000  0.0000

Properties
energy of formation = 204 meV per atom
uncorrected energy = -2.26 eV per atom
space group = R-3m, No. 166


[12]
Entry from Alexandria: Ba2CaSn2 after structural relaxation (PBE-GGA).

Unit cell a=8.4054 b=8.4054 c=8.4054 alpha=144.15 beta=144.15 gamma=51.61
Sites, in units of the cell vectors:
Ba  0.2500  0.7500  0.5000
Ba  0.7500  0.2500  0.5000
Ca  0.0000  0.0000  0.0000
Sn  0.4081  0.4081  0.0000
Sn  0.5919  0.5919  0.0000

Properties
relative energy among the computed polymorphs = 0.358 eV per atom
energy of formation = -268 meV per atom
uncorrected energy = -3.04 eV per atom
space group = I4/mmm, No. 139